(1)
A geometry-optimized HgOs2 structure. Source: Alexandria, functional PBE.

Computed properties:
Excess energy over the best structure of this formula in the dataset = 0.5210 eV/atom
Space-group type = Amm2
E_form = 2.75 eV/f.u.

a = 7.6253 Å, b = 7.6253 Å, c = 4.5768 Å
α = 90.00°, β = 90.00°, γ = 158.54°
Positions (direct):
Os 0.3285 0.6715 0.0000
Os 0.8839 0.1161 0.5000
Hg 0.6677 0.3323 0.0000
Os 0.5644 0.4356 0.5000
Hg 0.9929 0.0071 0.0000
Os 0.2293 0.7707 0.5000

***

(2)
A geometry-optimized TaV2ReH structure. Source: Alexandria, functional PBE.

Computed properties:
Space-group type = P4/mmm
Uncorrected energy = -9.21 eV/atom

a = 3.7475 Å, b = 3.7475 Å, c = 4.4954 Å
α = 90.00°, β = 90.00°, γ = 90.00°
Positions (direct):
V 0.0000 0.5000 0.0000
Re 0.5000 0.5000 0.5000
H 0.0000 0.0000 0.0000
V 0.5000 0.0000 0.0000
Ta 0.0000 0.0000 0.5000

***

(3)
A geometry-optimized OsRuI3 structure. Source: Alexandria, functional PBE.

Computed properties:
Excess energy over the best structure of this formula in the dataset = 0.0808 eV/atom
Space-group type = Pm-3m
Formation energy from raw total energies = 1.611 eV/atom

a = 5.3282 Å, b = 5.3282 Å, c = 5.3282 Å
α = 90.00°, β = 90.00°, γ = 90.00°
Positions (direct):
I 0.0000 0.0000 0.5000
I 0.0000 0.5000 0.0000
Ru 0.0000 0.0000 0.0000
Os 0.5000 0.5000 0.5000
I 0.5000 0.0000 0.0000

***

(4)
A geometry-optimized KH2RhCl8 structure. Source: Alexandria, functional PBE.

Computed properties:
Space-group type = P-1
Uncorrected energy = -3.14 eV/atom

a = 6.1844 Å, b = 7.7273 Å, c = 8.8289 Å
α = 121.11°, β = 94.36°, γ = 75.31°
Positions (direct):
Cl 0.0923 0.7412 0.0689
Cl 0.6798 0.8928 0.8755
Cl 0.9077 0.2588 0.9311
Cl 0.6040 0.7333 0.3595
Cl 0.8135 0.2385 0.2861
Cl 0.1865 0.7615 0.7139
Cl 0.3960 0.2667 0.6405
Rh 0.0000 0.0000 0.0000
H 0.6899 0.5398 0.3240
Cl 0.3202 0.1072 0.1245
H 0.3101 0.4602 0.6760
K 0.0000 0.0000 0.5000

***

(5)
A geometry-optimized Te2PO2 structure. Source: Alexandria, functional PBE.

Computed properties:
Excess energy over the best structure of this formula in the dataset = 0.0000 eV/atom
Space-group type = P4/mbm
Formation energy from raw total energies = -0.034 eV/atom

a = 7.9037 Å, b = 7.9037 Å, c = 2.8811 Å
α = 90.00°, β = 90.00°, γ = 90.00°
Positions (direct):
O 0.1480 0.6480 0.5000
Te 0.2159 0.2841 0.0000
O 0.3520 0.1480 0.5000
Te 0.2841 0.7841 0.0000
Te 0.7841 0.7159 0.0000
P 0.5000 0.5000 0.0000
P 0.0000 0.0000 0.0000
Te 0.7159 0.2159 0.0000
O 0.6480 0.8520 0.5000
O 0.8520 0.3520 0.5000

***

(6)
A geometry-optimized Re2PbCl structure. Source: Alexandria, functional PBE.

Computed properties:
Excess energy over the best structure of this formula in the dataset = 1.0482 eV/atom
Space-group type = C2/m
Formation energy from raw total energies = 1.186 eV/atom

a = 5.9445 Å, b = 5.9445 Å, c = 3.2201 Å
α = 75.02°, β = 75.02°, γ = 125.76°
Positions (direct):
Re 0.5000 0.5000 0.0000
Cl 0.5000 0.0000 0.5000
Pb 0.0000 0.5000 0.5000
Re 0.0000 0.0000 0.0000

***

Q: Which formula does entry 5 have?
A: Te2PO2

***

Q: Number 1 is which compound?
A: HgOs2

***

Q: What is the formula in the sixth record?
A: Re2PbCl